Computed, not measured: an optimized crystal structure of TbPm2Pa at the GGA-PBE level of DFT.

a b c (Å): 4.9582 4.9957 4.9957
angles (deg): 90.00 90.00 90.00
With the nearest neighbours (Å) after each atom.
Fractional coordinates of all 4 atoms:
Pa 0.5000 0.0000 0.0000  8 Pm 3.52, 4 Tb 3.53
Tb 0.5000 0.5000 0.5000  8 Pm 3.52, 4 Pa 3.53
Pm 0.0000 0.0000 0.5000  4 Tb 3.52, 4 Pa 3.52, 4 Pm 3.53
Pm 0.0000 0.5000 0.0000  4 Pa 3.52, 4 Tb 3.52, 4 Pm 3.53

Results
Uncorrected energy, eV per atom: -5.6525
Fermi-level density of states, states/eV/atom: 1.52
Energy of formation, eV/atom: 0.25
M_tot, Bohr magnetons per cell: 0.00
Excess energy over the best structure of this formula in the dataset, meV/atom: 96